Record 1
LiAg3 | SCAN | PBEsol geometry

Calculated formation energy (eV per atom): -0.10
D(E_F) (states/eV/cell): 2.285
Calculated total energy (eV per atom): -24.223

Structure (CIF):
```
data_LiAg3
_cell_length_a 2.835
_cell_length_b 9.315
_cell_length_c 4.900
_cell_angle_alpha 90.00
_cell_angle_beta 90.00
_cell_angle_gamma 90.00
_symmetry_space_group_name_H-M 'I m m 2'
_symmetry_Int_Tables_number 44
_symmetry_space_group_name_Hall 'I 2 -2'
loop_
_atom_site_label
_atom_site_fract_x
_atom_site_fract_y
_atom_site_fract_z
_atom_site_occupancy
Li1 0.000 0.000 0.000 1
Ag1 0.000 0.248 0.668 1
Ag2 0.000 0.500 0.993 1
```

***

Record 2
CaHgN2O | SCAN | PBEsol geometry

ΔE_f (raw) (kJ/mol of atoms): 101.1
D(E_F) (states/eV/cell): 3.852
Calculated total energy (eV per atom): -19.481

Structure (CIF):
```
data_CaHgN2O
_cell_length_a 4.559
_cell_length_b 4.559
_cell_length_c 4.258
_cell_angle_alpha 90.00
_cell_angle_beta 90.00
_cell_angle_gamma 90.00
_symmetry_space_group_name_H-M 'P 4/m m m'
_symmetry_Int_Tables_number 123
_symmetry_space_group_name_Hall '-P 4 2'
loop_
_atom_site_label
_atom_site_fract_x
_atom_site_fract_y
_atom_site_fract_z
_atom_site_occupancy
Ca1 0.000 0.000 0.000 1
Hg1 0.500 0.500 0.500 1
N1 0.000 0.500 0.000 1
O1 0.000 0.000 0.500 1
```

***

Record 3
SnPCl2 | SCAN | PBEsol geometry

ΔE_f (raw) (kJ/mol of atoms): 27.5
D(E_F) (states/eV/cell): 6.904
Calculated total energy (eV per atom): -15.284

Structure (CIF):
```
data_SnPCl2
_cell_length_a 6.990
_cell_length_b 6.990
_cell_length_c 6.990
_cell_angle_alpha 90.00
_cell_angle_beta 90.00
_cell_angle_gamma 90.00
_symmetry_space_group_name_H-M 'F m -3 m'
_symmetry_Int_Tables_number 225
_symmetry_space_group_name_Hall '-F 4 2 3'
loop_
_atom_site_label
_atom_site_fract_x
_atom_site_fract_y
_atom_site_fract_z
_atom_site_occupancy
Sn1 0.000 0.000 0.000 1
P1 0.000 0.000 0.500 1
Cl1 0.250 0.250 0.250 1
```

***

Record 4
ZrH2Os | SCAN | PBEsol geometry

D(E_F) (states/eV/cell): 4.264
Calculated total energy (eV per atom): -27.092

Structure (CIF):
```
data_ZrH2Os
_cell_length_a 5.453
_cell_length_b 5.453
_cell_length_c 5.453
_cell_angle_alpha 90.00
_cell_angle_beta 90.00
_cell_angle_gamma 90.00
_symmetry_space_group_name_H-M 'F m -3 m'
_symmetry_Int_Tables_number 225
_symmetry_space_group_name_Hall '-F 4 2 3'
loop_
_atom_site_label
_atom_site_fract_x
_atom_site_fract_y
_atom_site_fract_z
_atom_site_occupancy
Zr1 0.000 0.000 0.000 1
H1 0.250 0.250 0.250 1
Os1 0.000 0.000 0.500 1
```

***

Record 5
ZnFe3 | SCAN | PBEsol geometry

Calculated formation energy (eV per atom): 0.01
D(E_F) (states/eV/cell): 4.837
Calculated total energy (eV per atom): -16.961

Structure (CIF):
```
data_ZnFe3
_cell_length_a 8.342
_cell_length_b 2.443
_cell_length_c 4.518
_cell_angle_alpha 90.00
_cell_angle_beta 96.96
_cell_angle_gamma 90.00
_symmetry_space_group_name_H-M 'C 1 2/m 1'
_symmetry_Int_Tables_number 12
_symmetry_space_group_name_Hall '-C 2y'
loop_
_atom_site_label
_atom_site_fract_x
_atom_site_fract_y
_atom_site_fract_z
_atom_site_occupancy
Zn1 0.000 0.000 0.000 1
Fe1 0.000 0.500 0.500 1
Fe2 0.249 0.500 0.253 1
```

***

Record 6
MnCdTe2 | SCAN | PBEsol geometry

ΔE_f (raw) (kJ/mol of atoms): -50.7
Calculated total energy (eV per atom): -31.319

Structure (CIF):
```
data_MnCdTe2
_cell_length_a 4.5162
_cell_length_b 4.5162
_cell_length_c 21.8351
_cell_angle_alpha 90.00
_cell_angle_beta 90.00
_cell_angle_gamma 120.00
_symmetry_space_group_name_H-M 'R 3 m'
_symmetry_Int_Tables_number 160
_symmetry_space_group_name_Hall 'R 3 -2"'
loop_
_atom_site_label
_atom_site_fract_x
_atom_site_fract_y
_atom_site_fract_z
_atom_site_occupancy
Mn1 0.0000 0.0000 0.0000 1
Cd1 0.0000 0.0000 0.5028 1
Te1 0.0000 0.0000 0.1227 1
Te2 0.0000 0.0000 0.6314 1
```

***

Record 7
SbTeSN2 | SCAN | PBEsol geometry

ΔE_f (raw) (kJ/mol of atoms): 167.5
D(E_F) (states/eV/cell): 2.132
Calculated total energy (eV per atom): -18.809

Structure (CIF):
```
data_SbTeSN2
_cell_length_a 4.019
_cell_length_b 4.019
_cell_length_c 5.058
_cell_angle_alpha 90.00
_cell_angle_beta 90.00
_cell_angle_gamma 90.00
_symmetry_space_group_name_H-M 'P 4/m m m'
_symmetry_Int_Tables_number 123
_symmetry_space_group_name_Hall '-P 4 2'
loop_
_atom_site_label
_atom_site_fract_x
_atom_site_fract_y
_atom_site_fract_z
_atom_site_occupancy
Sb1 0.000 0.000 0.000 1
Te1 0.500 0.500 0.000 1
S1 0.500 0.500 0.500 1
N1 0.000 0.500 0.500 1
```

***

Record 8
BeCuPt4 | SCAN | PBEsol geometry

Calculated formation energy (eV per atom): 0.25
D(E_F) (states/eV/cell): 10.472
Calculated total energy (eV per atom): -49.808

Structure (CIF):
```
data_BeCuPt4
_cell_length_a 7.244
_cell_length_b 7.244
_cell_length_c 7.244
_cell_angle_alpha 90.00
_cell_angle_beta 90.00
_cell_angle_gamma 90.00
_symmetry_space_group_name_H-M 'F -4 3 m'
_symmetry_Int_Tables_number 216
_symmetry_space_group_name_Hall 'F -4 2 3'
loop_
_atom_site_label
_atom_site_fract_x
_atom_site_fract_y
_atom_site_fract_z
_atom_site_occupancy
Be1 0.000 0.000 0.000 1
Cu1 0.250 0.250 0.250 1
Pt1 0.125 0.125 0.625 1
```